[1]
# Ba2GeTe2Se2 | Alexandria via LeMat-Bulk | PBE | relaxed
# - space group = P2_1/m
# - calculated total energy (eV/atom) = -4.321
data_Ba2GeTe2Se2
_chemical_formula_sum 'Ba4 Ge2 Te4 Se4'
_cell_length_a 7.294
_cell_length_b 7.613
_cell_length_c 9.406
_cell_angle_alpha 71.94
_cell_angle_beta 90.00
_cell_angle_gamma 90.00
_symmetry_space_group_name_H-M 'P 1'
_symmetry_Int_Tables_number 1
_symmetry_space_group_name_Hall 'P 1'
loop_
_atom_site_label
_atom_site_type_symbol
_atom_site_fract_x
_atom_site_fract_y
_atom_site_fract_z
Ba1 Ba 0.750 0.224 0.444
Se1 Se 0.004 0.993 0.248
Te1 Te 0.750 0.612 0.589
Se2 Se 0.496 0.993 0.248
Te2 Te 0.250 0.392 0.895
Ge1 Ge 0.750 0.783 0.303
Ba2 Ba 0.750 0.224 0.946
Ba3 Ba 0.250 0.776 0.054
Te3 Te 0.750 0.608 0.105
Se3 Se 0.504 0.007 0.752
Te4 Te 0.250 0.388 0.411
Ba4 Ba 0.250 0.776 0.556
Ge2 Ge 0.250 0.217 0.697
Se4 Se 0.996 0.007 0.752

***

[2]
# BaTl2GeSe4 | Alexandria via LeMat-Bulk | PBE | relaxed
# - space group = Imma
# - calculated total energy (eV/atom) = -3.761
data_BaTl2GeSe4
_chemical_formula_sum 'Ba2 Tl4 Ge2 Se8'
_cell_length_a 8.697
_cell_length_b 8.697
_cell_length_c 9.026
_cell_angle_alpha 121.26
_cell_angle_beta 121.26
_cell_angle_gamma 88.21
_symmetry_space_group_name_H-M 'P 1'
_symmetry_Int_Tables_number 1
_symmetry_space_group_name_Hall 'P 1'
loop_
_atom_site_label
_atom_site_type_symbol
_atom_site_fract_x
_atom_site_fract_y
_atom_site_fract_z
Se1 Se 0.264 0.236 0.469
Tl1 Tl 0.500 0.500 0.000
Tl2 Tl 0.500 0.000 0.000
Se2 Se 0.747 0.220 0.983
Se3 Se 0.280 0.753 0.517
Se4 Se 0.253 0.780 0.017
Tl3 Tl 0.000 0.000 0.500
Ba1 Ba 0.000 0.500 0.500
Ge1 Ge 0.500 0.500 0.500
Se5 Se 0.736 0.764 0.531
Se6 Se 0.736 0.764 0.969
Ge2 Ge 0.000 0.000 0.000
Tl4 Tl 0.500 0.000 0.500
Se7 Se 0.264 0.236 0.031
Ba2 Ba 0.000 0.500 0.000
Se8 Se 0.720 0.247 0.483

***

[3]
# Ba2TmGeSe5 | Alexandria via LeMat-Bulk | PBE | relaxed
# - space group = Cmc2_1
# - calculated total energy (eV/atom) = -4.902
data_Ba2TmGeSe5
_chemical_formula_sum 'Ba4 Tm2 Ge2 Se10'
_cell_length_a 4.456
_cell_length_b 9.654
_cell_length_c 13.135
_cell_angle_alpha 90.00
_cell_angle_beta 90.00
_cell_angle_gamma 103.34
_symmetry_space_group_name_H-M 'P 1'
_symmetry_Int_Tables_number 1
_symmetry_space_group_name_Hall 'P 1'
loop_
_atom_site_label
_atom_site_type_symbol
_atom_site_fract_x
_atom_site_fract_y
_atom_site_fract_z
Se1 Se 0.299 0.597 0.663
Se2 Se 0.349 0.699 0.008
Ge1 Ge 0.442 0.884 0.439
Ba1 Ba 0.122 0.243 0.687
Ba2 Ba 0.878 0.757 0.187
Se3 Se 0.314 0.629 0.377
Tm1 Tm 0.205 0.410 0.026
Ba3 Ba 0.126 0.252 0.325
Ge2 Ge 0.558 0.116 0.939
Se4 Se 0.046 0.092 0.026
Ba4 Ba 0.874 0.748 0.825
Se5 Se 0.954 0.908 0.526
Se6 Se 0.701 0.403 0.163
Se7 Se 0.501 0.001 0.773
Se8 Se 0.686 0.371 0.877
Se9 Se 0.651 0.301 0.508
Tm2 Tm 0.795 0.590 0.526
Se10 Se 0.499 0.999 0.273

***

[4]
# Ba2UGeSe5 | Alexandria via LeMat-Bulk | PBE | relaxed
# - space group = Cmc2_1
# - calculated total energy (eV/atom) = -5.453
data_Ba2UGeSe5
_chemical_formula_sum 'Ba4 U2 Ge2 Se10'
_cell_length_a 4.431
_cell_length_b 9.581
_cell_length_c 13.710
_cell_angle_alpha 90.00
_cell_angle_beta 90.00
_cell_angle_gamma 103.37
_symmetry_space_group_name_H-M 'P 1'
_symmetry_Int_Tables_number 1
_symmetry_space_group_name_Hall 'P 1'
loop_
_atom_site_label
_atom_site_type_symbol
_atom_site_fract_x
_atom_site_fract_y
_atom_site_fract_z
Ba1 Ba 0.898 0.796 0.176
Ba2 Ba 0.102 0.204 0.676
Se1 Se 0.640 0.281 0.496
Se2 Se 0.494 0.988 0.767
Se3 Se 0.506 0.012 0.267
Ba3 Ba 0.132 0.263 0.308
Se4 Se 0.319 0.638 0.387
Se5 Se 0.360 0.719 0.996
Ge1 Ge 0.546 0.091 0.948
Ge2 Ge 0.454 0.909 0.448
Se6 Se 0.278 0.557 0.658
U1 U 0.211 0.422 0.022
Se7 Se 0.935 0.870 0.561
U2 U 0.789 0.578 0.522
Se8 Se 0.722 0.443 0.158
Ba4 Ba 0.868 0.737 0.808
Se9 Se 0.065 0.130 0.061
Se10 Se 0.681 0.362 0.887

***

[5]
# Ba2YGeSe5 | Alexandria via LeMat-Bulk | PBE | relaxed
# - space group = Cmc2_1
# - calculated total energy (eV/atom) = -5.135
data_Ba2YGeSe5
_chemical_formula_sum 'Ba4 Y2 Ge2 Se10'
_cell_length_a 4.478
_cell_length_b 9.673
_cell_length_c 13.181
_cell_angle_alpha 90.00
_cell_angle_beta 90.00
_cell_angle_gamma 103.38
_symmetry_space_group_name_H-M 'P 1'
_symmetry_Int_Tables_number 1
_symmetry_space_group_name_Hall 'P 1'
loop_
_atom_site_label
_atom_site_type_symbol
_atom_site_fract_x
_atom_site_fract_y
_atom_site_fract_z
Se1 Se 0.351 0.701 0.009
Se2 Se 0.500 0.000 0.272
Ge1 Ge 0.443 0.886 0.437
Se3 Se 0.500 0.000 0.772
Se4 Se 0.649 0.299 0.509
Se5 Se 0.044 0.088 0.023
Se6 Se 0.315 0.631 0.376
Ba1 Ba 0.125 0.250 0.328
Se7 Se 0.299 0.598 0.666
Se8 Se 0.956 0.912 0.523
Ba2 Ba 0.875 0.750 0.828
Ba3 Ba 0.121 0.243 0.687
Y1 Y 0.204 0.409 0.027
Se9 Se 0.685 0.369 0.876
Ge2 Ge 0.557 0.114 0.937
Ba4 Ba 0.879 0.757 0.187
Se10 Se 0.701 0.402 0.166
Y2 Y 0.796 0.591 0.527

***

[6]
# BaSi3Ge | Alexandria via LeMat-Bulk | PBE | relaxed
# - space group = Pm-3m
# - calculated total energy (eV/atom) = -2.660
data_BaSi3Ge
_chemical_formula_sum 'Ba1 Si3 Ge1'
_cell_length_a 5.588
_cell_length_b 5.588
_cell_length_c 5.588
_cell_angle_alpha 90.00
_cell_angle_beta 90.00
_cell_angle_gamma 90.00
_symmetry_space_group_name_H-M 'P 1'
_symmetry_Int_Tables_number 1
_symmetry_space_group_name_Hall 'P 1'
loop_
_atom_site_label
_atom_site_type_symbol
_atom_site_fract_x
_atom_site_fract_y
_atom_site_fract_z
Si1 Si 0.000 0.500 0.000
Ba1 Ba 0.000 0.000 0.000
Ge1 Ge 0.500 0.500 0.500
Si2 Si 0.500 0.000 0.000
Si3 Si 0.000 0.000 0.500

***

[7]
# Ba3SiGe4 | Alexandria via LeMat-Bulk | PBE | relaxed
# - space group = Immm
# - calculated total energy (eV/atom) = -4.035
data_Ba3SiGe4
_chemical_formula_sum 'Ba3 Si1 Ge4'
_cell_length_a 5.256
_cell_length_b 5.725
_cell_length_c 9.381
_cell_angle_alpha 107.77
_cell_angle_beta 106.27
_cell_angle_gamma 90.00
_symmetry_space_group_name_H-M 'P 1'
_symmetry_Int_Tables_number 1
_symmetry_space_group_name_Hall 'P 1'
loop_
_atom_site_label
_atom_site_type_symbol
_atom_site_fract_x
_atom_site_fract_y
_atom_site_fract_z
Si1 Si 0.500 0.000 0.000
Ba1 Ba 0.194 0.194 0.389
Ge1 Ge 0.614 0.397 0.228
Ba2 Ba 0.806 0.806 0.611
Ge2 Ge 0.614 0.832 0.228
Ge3 Ge 0.386 0.603 0.772
Ge4 Ge 0.386 0.168 0.772
Ba3 Ba 0.000 0.500 0.000

***

[8]
# BaSiGe3 | Alexandria via LeMat-Bulk | PBE | relaxed
# - space group = P2_1/c
# - calculated total energy (eV/atom) = -4.425
data_BaSiGe3
_chemical_formula_sum 'Ba4 Si4 Ge12'
_cell_length_a 5.651
_cell_length_b 8.919
_cell_length_c 9.969
_cell_angle_alpha 92.02
_cell_angle_beta 90.00
_cell_angle_gamma 90.00
_symmetry_space_group_name_H-M 'P 1'
_symmetry_Int_Tables_number 1
_symmetry_space_group_name_Hall 'P 1'
loop_
_atom_site_label
_atom_site_type_symbol
_atom_site_fract_x
_atom_site_fract_y
_atom_site_fract_z
Ge1 Ge 0.678 0.248 0.525
Si1 Si 0.987 0.809 0.630
Ge2 Ge 0.741 0.456 0.953
Ba1 Ba 0.845 0.568 0.316
Ge3 Ge 0.867 0.147 0.138
Ba2 Ba 0.155 0.432 0.684
Ge4 Ge 0.759 0.956 0.453
Ge5 Ge 0.822 0.748 0.025
Si2 Si 0.487 0.691 0.870
Ge6 Ge 0.178 0.252 0.975
Ge7 Ge 0.241 0.044 0.547
Ge8 Ge 0.633 0.647 0.638
Ge9 Ge 0.322 0.752 0.475
Ba3 Ba 0.345 0.932 0.184
Ge10 Ge 0.259 0.544 0.047
Si3 Si 0.013 0.191 0.370
Ge11 Ge 0.367 0.353 0.362
Ge12 Ge 0.133 0.853 0.862
Si4 Si 0.513 0.309 0.130
Ba4 Ba 0.655 0.068 0.816

***

[9]
# Ba2Si2Ge | Alexandria via LeMat-Bulk | PBE | relaxed
# - space group = P4/mbm
# - calculated total energy (eV/atom) = -4.085
data_Ba2Si2Ge
_chemical_formula_sum 'Ba4 Si4 Ge2'
_cell_length_a 7.569
_cell_length_b 7.569
_cell_length_c 5.081
_cell_angle_alpha 90.00
_cell_angle_beta 90.00
_cell_angle_gamma 90.00
_symmetry_space_group_name_H-M 'P 1'
_symmetry_Int_Tables_number 1
_symmetry_space_group_name_Hall 'P 1'
loop_
_atom_site_label
_atom_site_type_symbol
_atom_site_fract_x
_atom_site_fract_y
_atom_site_fract_z
Si1 Si 0.110 0.390 0.000
Ba1 Ba 0.183 0.683 0.500
Si2 Si 0.890 0.610 0.000
Si3 Si 0.390 0.890 0.000
Ba2 Ba 0.817 0.317 0.500
Si4 Si 0.610 0.110 0.000
Ba3 Ba 0.317 0.183 0.500
Ge1 Ge 0.500 0.500 0.000
Ba4 Ba 0.683 0.817 0.500
Ge2 Ge 0.000 0.000 0.000

***

[10]
# BaSiGe | Alexandria via LeMat-Bulk | PBE | relaxed
# - space group = Pmmm
# - calculated total energy (eV/atom) = -4.388
data_BaSiGe
_chemical_formula_sum 'Ba2 Si2 Ge2'
_cell_length_a 4.124
_cell_length_b 4.950
_cell_length_c 8.298
_cell_angle_alpha 90.00
_cell_angle_beta 90.00
_cell_angle_gamma 90.00
_symmetry_space_group_name_H-M 'P 1'
_symmetry_Int_Tables_number 1
_symmetry_space_group_name_Hall 'P 1'
loop_
_atom_site_label
_atom_site_type_symbol
_atom_site_fract_x
_atom_site_fract_y
_atom_site_fract_z
Si1 Si 0.500 0.000 0.143
Ba1 Ba 0.000 0.500 0.000
Ge1 Ge 0.000 0.000 0.691
Si2 Si 0.500 0.000 0.857
Ge2 Ge 0.000 0.000 0.309
Ba2 Ba 0.500 0.500 0.500

***

[11]
# BaSi2Ge2 | Alexandria via LeMat-Bulk | PBE | relaxed
# - space group = I4/mmm
# - calculated total energy (eV/atom) = -4.556
data_BaSi2Ge2
_chemical_formula_sum 'Ba1 Si2 Ge2'
_cell_length_a 4.588
_cell_length_b 4.588
_cell_length_c 6.487
_cell_angle_alpha 69.29
_cell_angle_beta 69.29
_cell_angle_gamma 90.00
_symmetry_space_group_name_H-M 'P 1'
_symmetry_Int_Tables_number 1
_symmetry_space_group_name_Hall 'P 1'
loop_
_atom_site_label
_atom_site_type_symbol
_atom_site_fract_x
_atom_site_fract_y
_atom_site_fract_z
Si1 Si 0.250 0.750 0.500
Si2 Si 0.750 0.250 0.500
Ba1 Ba 0.000 0.000 0.000
Ge1 Ge 0.353 0.353 0.295
Ge2 Ge 0.647 0.647 0.705

***

[12]
# BaSiGe | Alexandria via LeMat-Bulk | PBE | relaxed
# - space group = Cmcm
# - calculated total energy (eV/atom) = -4.362
data_BaSiGe
_chemical_formula_sum 'Ba2 Si2 Ge2'
_cell_length_a 4.467
_cell_length_b 4.467
_cell_length_c 9.968
_cell_angle_alpha 90.00
_cell_angle_beta 90.00
_cell_angle_gamma 124.02
_symmetry_space_group_name_H-M 'P 1'
_symmetry_Int_Tables_number 1
_symmetry_space_group_name_Hall 'P 1'
loop_
_atom_site_label
_atom_site_type_symbol
_atom_site_fract_x
_atom_site_fract_y
_atom_site_fract_z
Ge1 Ge 0.335 0.165 0.750
Si1 Si 0.663 0.837 0.750
Ba1 Ba 0.000 0.500 0.500
Si2 Si 0.337 0.163 0.250
Ba2 Ba 0.000 0.500 0.000
Ge2 Ge 0.665 0.835 0.250

***

no.,formation energy from raw total energies (meV per atom),volume (A^3/atom)
1,-1219,35.47
2,-610,29.48
3,-1529,30.54
4,-1322,31.46
5,-1541,30.85
6,1902,34.90
7,-328,32.12
8,-186,25.11
9,-223,29.11
10,-401,28.23
11,-155,23.65
12,-374,27.48